Entry one
TaCrCd, optimized geometry, DFT GGA-PBEsol; total magnetization = 2.7 μB per formula unit; Fermi-level density of states = 2.58 states/eV/cell
1.0
2.902 0.000 0.000
-1.451 2.513 0.000
0.000 0.000 7.026
Ta Cr Cd
1 1 1
Direct
0.000 0.000 0.000
0.667 0.333 0.300
0.333 0.667 0.635

***

Entry two
TaCrCd, optimized geometry, DFT GGA-PBEsol; total magnetization = 2.7 μB per formula unit; Fermi-level density of states = 18.38 states/eV/cell
1.0
6.198 0.000 0.000
0.000 6.198 0.000
0.000 0.000 6.198
Ta Cr Cd
4 4 4
Direct
0.000 0.000 0.000
0.000 0.500 0.500
0.500 0.000 0.500
0.500 0.500 0.000
0.000 0.000 0.500
0.000 0.500 0.000
0.500 0.000 0.000
0.500 0.500 0.500
0.250 0.250 0.750
0.250 0.750 0.250
0.750 0.250 0.250
0.750 0.750 0.750

***

The data favor entry one; the next most stable structure lies 0.918 eV/atom above it.

***

Entry one
CrCd2Tc, optimized geometry, DFT GGA-PBEsol; total magnetization = 1.8 μB per formula unit; Fermi-level density of states = 6.74 states/eV/cell
1.0
3.348 0.000 0.000
0.000 4.255 0.000
0.000 0.000 9.088
Cr Cd Tc
2 4 2
Direct
0.000 0.000 0.000
0.500 0.500 0.500
0.000 0.500 0.255
0.000 0.500 0.745
0.500 0.000 0.245
0.500 0.000 0.755
0.000 0.000 0.500
0.500 0.500 0.000

***

Entry two
CrCd2Tc, optimized geometry, DFT GGA-PBEsol; total magnetization = 2.7 μB per formula unit; Fermi-level density of states = 6.68 states/eV/cell
1.0
5.360 0.000 0.000
0.000 9.302 0.000
-0.878 0.000 2.628
Cr Cd Tc
2 4 2
Direct
0.000 0.000 0.000
0.500 0.500 0.000
0.250 0.250 0.500
0.250 0.750 0.500
0.750 0.250 0.500
0.750 0.750 0.500
0.000 0.500 0.000
0.500 0.000 0.000

***

Entry three
CrCd2Tc, optimized geometry, DFT GGA-PBEsol; total magnetization = 2.2 μB per formula unit; Fermi-level density of states = 25.80 states/eV/cell
1.0
6.455 0.000 0.000
0.000 6.455 0.000
0.000 0.000 6.455
Cr Cd Tc
4 8 4
Direct
0.000 0.000 0.000
0.000 0.500 0.500
0.500 0.000 0.500
0.500 0.500 0.000
0.250 0.250 0.250
0.250 0.250 0.750
0.250 0.750 0.250
0.250 0.750 0.750
0.750 0.250 0.250
0.750 0.250 0.750
0.750 0.750 0.250
0.750 0.750 0.750
0.000 0.000 0.500
0.000 0.500 0.000
0.500 0.000 0.000
0.500 0.500 0.500

***

The data favor entry one; the next most stable structure lies 0.048 eV/atom above it.

***

Entry one
TlCrCd2, optimized geometry, DFT GGA-PBEsol; total magnetization = 4.0 μB per formula unit; Fermi-level density of states = 1.75 states/eV/cell
1.0
3.552 0.000 0.000
0.000 3.668 0.000
0.000 0.000 6.271
Tl Cr Cd
1 1 2
Direct
0.000 0.000 0.000
0.500 0.500 0.240
0.000 0.000 0.475
0.500 0.500 0.719

***

Entry two
TlCrCd2, optimized geometry, DFT GGA-PBEsol; total magnetization = 4.0 μB per formula unit; Fermi-level density of states = 3.29 states/eV/cell
1.0
4.402 0.000 0.000
0.000 4.402 0.000
0.000 0.000 8.307
Tl Cr Cd
2 2 4
Direct
0.000 0.000 0.000
0.500 0.500 0.500
0.000 0.500 0.250
0.500 0.000 0.750
0.000 0.000 0.500
0.000 0.500 0.750
0.500 0.000 0.250
0.500 0.500 0.000

***

The data favor entry two; the next most stable structure lies 0.013 eV/atom above it.

***

Entry one
Tl2CrCd, optimized geometry, DFT GGA-PBEsol; total magnetization = 3.9 μB per formula unit; Fermi-level density of states = 5.78 states/eV/cell
1.0
3.298 0.000 0.000
-1.649 2.856 0.000
0.000 0.000 28.918
Tl Cr Cd
6 3 3
Direct
0.000 0.000 0.000
0.000 0.000 0.238
0.333 0.667 0.667
0.333 0.667 0.905
0.667 0.333 0.333
0.667 0.333 0.572
0.000 0.000 0.496
0.333 0.667 0.163
0.667 0.333 0.829
0.000 0.000 0.757
0.333 0.667 0.424
0.667 0.333 0.090

***

Entry two
Tl2CrCd, optimized geometry, DFT GGA-PBEsol; total magnetization = 4.1 μB per formula unit; Fermi-level density of states = 2.42 states/eV/cell
1.0
3.457 0.000 0.000
0.000 4.727 0.000
-1.416 0.000 5.529
Tl Cr Cd
2 1 1
Direct
0.000 0.000 0.000
0.255 0.500 0.635
0.685 0.000 0.475
0.570 0.500 0.175

***

Entry three
Tl2CrCd, optimized geometry, DFT GGA-PBEsol; total magnetization = 3.9 μB per formula unit; Fermi-level density of states = 2.48 states/eV/cell
1.0
5.125 0.000 0.000
0.000 3.314 0.000
-2.113 0.000 5.190
Tl Cr Cd
2 1 1
Direct
0.000 0.000 0.000
0.000 0.500 0.500
0.500 0.000 0.500
0.500 0.500 0.000

***

The data favor entry one; the next most stable structure lies 0.011 eV/atom above it.

***

Entry one
ZnCr2Cd, optimized geometry, DFT GGA-PBEsol; total magnetization = 0.0 μB per formula unit; Fermi-level density of states = 6.86 states/eV/cell
1.0
5.057 0.000 0.000
0.000 8.590 0.000
-0.457 0.000 2.517
Zn Cr Cd
2 4 2
Direct
0.000 0.000 0.000
0.500 0.500 0.000
0.250 0.250 0.500
0.250 0.750 0.500
0.750 0.250 0.500
0.750 0.750 0.500
0.000 0.500 0.000
0.500 0.000 0.000

***

Entry two
ZnCr2Cd, optimized geometry, DFT GGA-PBEsol; total magnetization = 0.0 μB per formula unit; Fermi-level density of states = 3.25 states/eV/cell
1.0
2.563 0.000 0.000
0.000 2.563 0.000
0.000 0.000 8.303
Zn Cr Cd
1 2 1
Direct
0.000 0.000 0.000
0.500 0.500 0.232
0.500 0.500 0.768
0.000 0.000 0.500

***

The data favor entry two; the next most stable structure lies 0.011 eV/atom above it.

***

Entry one
ZnCr2Cd, optimized geometry, DFT GGA-PBEsol; total magnetization = 0.1 μB per formula unit; Fermi-level density of states = 4.17 states/eV/cell
1.0
3.924 0.000 0.000
0.000 3.924 0.000
0.000 0.000 7.753
Zn Cr Cd
2 4 2
Direct
0.000 0.000 0.000
0.500 0.500 0.500
0.000 0.000 0.500
0.000 0.500 0.750
0.500 0.000 0.250
0.500 0.500 0.000
0.000 0.500 0.250
0.500 0.000 0.750

***

Entry two
ZnCr2Cd, optimized geometry, DFT GGA-PBEsol; total magnetization = 0.1 μB per formula unit; Fermi-level density of states = 3.01 states/eV/cell
1.0
3.400 0.000 0.000
0.000 3.985 0.000
0.000 0.000 4.357
Zn Cr Cd
1 2 1
Direct
0.000 0.000 0.000
0.000 0.500 0.500
0.500 0.000 0.500
0.500 0.500 0.000

***

The data favor entry one; the next most stable structure lies 0.009 eV/atom above it.

***

Entry one
CsCd3Hg, optimized geometry, DFT GGA-PBEsol; total magnetization = 0.0 μB per formula unit; Fermi-level density of states = 2.48 states/eV/cell
1.0
5.514 0.000 0.000
0.000 5.514 0.000
0.000 0.000 5.514
Cs Cd Hg
1 3 1
Direct
0.000 0.000 0.000
0.000 0.500 0.500
0.500 0.000 0.500
0.500 0.500 0.000
0.500 0.500 0.500

***

Entry two
CsCd3Hg, optimized geometry, DFT GGA-PBEsol; total magnetization = 0.0 μB per formula unit; Fermi-level density of states = 3.36 states/eV/cell
1.0
6.835 0.000 0.000
0.000 6.835 0.000
0.000 0.000 6.835
Cs Cd Hg
1 3 1
Direct
0.000 0.000 0.000
0.000 0.000 0.500
0.000 0.500 0.000
0.500 0.000 0.000
0.500 0.500 0.500

***

The data favor entry one; the next most stable structure lies 0.653 eV/atom above it.

***

Entry one
Cs2CdI4, optimized geometry, DFT GGA-PBEsol; total magnetization = 0.0 μB per formula unit; Fermi-level density of states = 0.00 states/eV/cell
1.0
10.775 0.000 0.000
0.000 8.319 0.000
0.000 0.000 14.911
Cs Cd I
8 4 16
Direct
0.023 0.250 0.166
0.112 0.750 0.429
0.388 0.250 0.929
0.477 0.750 0.666
0.523 0.250 0.334
0.612 0.750 0.071
0.888 0.250 0.571
0.977 0.750 0.834
0.223 0.750 0.075
0.277 0.250 0.575
0.723 0.750 0.425
0.777 0.250 0.925
0.032 0.250 0.907
0.168 0.516 0.654
0.168 0.984 0.654
0.184 0.250 0.401
0.316 0.750 0.901
0.332 0.016 0.154
0.332 0.484 0.154
0.468 0.750 0.407
0.532 0.250 0.593
0.668 0.516 0.846
0.668 0.984 0.846
0.684 0.250 0.099
0.816 0.750 0.599
0.832 0.016 0.346
0.832 0.484 0.346
0.968 0.750 0.093

***

Entry two
Cs2CdI4, optimized geometry, DFT GGA-PBEsol; total magnetization = 0.0 μB per formula unit; Fermi-level density of states = 0.00 states/eV/cell
1.0
7.835 0.000 0.000
0.000 8.253 0.000
-3.718 0.000 10.201
Cs Cd I
4 2 8
Direct
0.197 0.250 0.037
0.295 0.250 0.588
0.705 0.750 0.412
0.803 0.750 0.963
0.191 0.750 0.780
0.809 0.250 0.220
0.041 0.515 0.284
0.041 0.985 0.284
0.361 0.750 0.053
0.423 0.750 0.638
0.577 0.250 0.362
0.639 0.250 0.947
0.959 0.015 0.716
0.959 0.485 0.716

***

The data favor entry two; the next most stable structure lies 0.007 eV/atom above it.

***

Entry one
Cs3KCd, optimized geometry, DFT GGA-PBEsol; total magnetization = 0.0 μB per formula unit; Fermi-level density of states = 5.73 states/eV/cell
1.0
8.245 0.000 0.000
0.000 8.245 0.000
0.000 0.000 8.245
Cs K Cd
3 1 1
Direct
0.000 0.000 0.500
0.000 0.500 0.000
0.500 0.000 0.000
0.000 0.000 0.000
0.500 0.500 0.500

***

Entry two
Cs3KCd, optimized geometry, DFT GGA-PBEsol; total magnetization = 0.0 μB per formula unit; Fermi-level density of states = 5.75 states/eV/cell
1.0
7.430 0.000 0.000
0.000 7.430 0.000
0.000 0.000 7.430
Cs K Cd
3 1 1
Direct
0.000 0.000 0.500
0.000 0.500 0.000
0.500 0.000 0.000
0.500 0.500 0.500
0.000 0.000 0.000

***

The data favor entry two; the next most stable structure lies 0.292 eV/atom above it.

***

Entry one
Cs2RbCd2, optimized geometry, DFT GGA-PBEsol; total magnetization = 0.0 μB per formula unit; Fermi-level density of states = 8.28 states/eV/cell
1.0
9.700 0.000 0.000
0.000 9.700 0.000
0.000 0.000 5.621
Cs Rb Cd
4 2 4
Direct
0.174 0.326 0.000
0.326 0.826 0.000
0.674 0.174 0.000
0.826 0.674 0.000
0.000 0.000 0.500
0.500 0.500 0.500
0.108 0.608 0.500
0.392 0.108 0.500
0.608 0.892 0.500
0.892 0.392 0.500

***

Entry two
Cs2RbCd2, optimized geometry, DFT GGA-PBEsol; total magnetization = 0.0 μB per formula unit; Fermi-level density of states = 7.34 states/eV/cell
1.0
5.916 0.000 0.000
0.000 5.916 0.000
0.000 0.000 15.304
Cs Rb Cd
4 2 4
Direct
0.000 0.500 0.250
0.000 0.500 0.750
0.500 0.000 0.250
0.500 0.000 0.750
0.000 0.000 0.000
0.500 0.500 0.500
0.000 0.000 0.409
0.000 0.000 0.591
0.500 0.500 0.091
0.500 0.500 0.909

***

The data favor entry one; the next most stable structure lies 0.055 eV/atom above it.

***

Entry one
CdCu5, optimized geometry, DFT GGA-PBEsol; total magnetization = 0.0 μB per formula unit; Fermi-level density of states = 1.58 states/eV/cell
1.0
2.926 0.000 0.000
0.000 2.926 0.000
0.000 0.000 8.867
Cd Cu
1 5
Direct
0.000 0.000 0.000
0.000 0.000 0.350
0.000 0.000 0.650
0.500 0.500 0.201
0.500 0.500 0.500
0.500 0.500 0.799

***

Entry two
CdCu5, optimized geometry, DFT GGA-PBEsol; total magnetization = 0.0 μB per formula unit; Fermi-level density of states = 3.40 states/eV/cell
1.0
3.724 0.000 0.000
0.000 11.137 0.000
0.000 0.000 3.652
Cd Cu
2 10
Direct
0.000 0.000 0.000
0.500 0.500 0.000
0.000 0.174 0.500
0.000 0.327 0.000
0.000 0.500 0.500
0.000 0.673 0.000
0.000 0.826 0.500
0.500 0.000 0.500
0.500 0.173 0.000
0.500 0.326 0.500
0.500 0.674 0.500
0.500 0.827 0.000

***

The data favor entry one; the next most stable structure lies 0.005 eV/atom above it.

***

Entry one
Cd2FeCu, optimized geometry, DFT GGA-PBEsol; total magnetization = 2.7 μB per formula unit; Fermi-level density of states = 7.89 states/eV/cell
1.0
3.978 0.000 0.000
0.000 3.978 0.000
0.000 0.000 7.851
Cd Fe Cu
4 2 2
Direct
0.000 0.000 0.000
0.000 0.500 0.250
0.500 0.000 0.750
0.500 0.500 0.500
0.000 0.500 0.750
0.500 0.000 0.250
0.000 0.000 0.500
0.500 0.500 0.000

***

Entry two
Cd2FeCu, optimized geometry, DFT GGA-PBEsol; total magnetization = 2.6 μB per formula unit; Fermi-level density of states = 2.12 states/eV/cell
1.0
2.873 0.000 0.000
0.000 2.873 0.000
0.000 0.000 7.531
Cd Fe Cu
2 1 1
Direct
0.000 0.000 0.000
0.500 0.500 0.314
0.500 0.500 0.748
0.000 0.000 0.557

***

The data favor entry two; the next most stable structure lies 0.129 eV/atom above it.